1.
This record from Alexandria via LeMat-Bulk describes a relaxed Mn3FeO4 crystal. The functional is PBE+U.

a = 5.4584 Å, b = 6.3849 Å, c = 5.4649 Å
α = 90.00°, β = 108.45°, γ = 90.00°
Fractional coordinates of all 16 atoms:
1 Mn 0.0000 0.1252 0.2500
2 Mn 0.0000 0.3749 0.7500
3 Mn 0.0000 0.6251 0.2500
4 Mn 0.0000 0.8748 0.7500
5 Mn 0.5000 0.1249 0.7500
6 Mn 0.5000 0.8751 0.2500
7 Fe 0.5000 0.3746 0.2500
8 Fe 0.5000 0.6254 0.7500
9 O 0.2484 0.1262 0.9967
10 O 0.2484 0.8738 0.4967
11 O 0.2565 0.3764 0.4891
12 O 0.2565 0.6236 0.9891
13 O 0.7435 0.3764 0.0109
14 O 0.7435 0.6236 0.5109
15 O 0.7516 0.1262 0.5033
16 O 0.7516 0.8738 0.0033

Computed properties:
D(E_F): 0.27 states/eV/f.u.
size of the total moment: 2.375 μB/atom
total energy: -60.24 eV per formula unit

---

2.
This record from Alexandria via LeMat-Bulk describes a relaxed Mn5FeO12 crystal. The functional is PBE+U.

a = 5.0715 Å, b = 5.0715 Å, c = 10.1160 Å
α = 90.04°, β = 90.04°, γ = 120.21°
Fractional coordinates of all 18 atoms:
1 Mn 0.0000 0.0000 0.0000
2 Mn 0.1672 0.8328 0.5000
3 Mn 0.3333 0.6667 0.0000
4 Mn 0.6667 0.3333 0.0000
5 Mn 0.8328 0.1672 0.5000
6 Fe 0.5000 0.5000 0.5000
7 O 0.0006 0.6672 0.0950
8 O 0.1663 0.5008 0.4053
9 O 0.1710 0.1710 0.5944
10 O 0.3328 0.9994 0.9050
11 O 0.3338 0.3338 0.0949
12 O 0.4992 0.8337 0.5947
13 O 0.5008 0.1663 0.4053
14 O 0.6662 0.6662 0.9051
15 O 0.6672 0.0006 0.0950
16 O 0.8290 0.8290 0.4056
17 O 0.8337 0.4992 0.5947
18 O 0.9994 0.3328 0.9050

Computed properties:
size of the total moment: 0.057 μB/atom
total energy: -124.55 eV per formula unit

---

3.
This record from Alexandria via LeMat-Bulk describes a relaxed MnFe2O3 crystal. The functional is PBE+U.

a = 5.9032 Å, b = 5.9032 Å, c = 5.7404 Å
α = 97.28°, β = 97.28°, γ = 121.98°
Fractional coordinates of all 12 atoms:
1 Mn 0.0886 0.9114 0.5000
2 Mn 0.9114 0.0886 0.0000
3 Fe 0.2435 0.7497 0.9913
4 Fe 0.4225 0.5828 0.4909
5 Fe 0.5828 0.4225 0.9909
6 Fe 0.7497 0.2435 0.4913
7 O 0.1216 0.6070 0.6258
8 O 0.2926 0.4642 0.1247
9 O 0.4642 0.2926 0.6247
10 O 0.6070 0.1216 0.1258
11 O 0.7904 0.9531 0.6242
12 O 0.9531 0.7904 0.1242

Computed properties:
distance to the lowest polymorph of the same formula: 63.5 meV/atom
D(E_F): 0.41 states/eV/f.u.
size of the total moment: 2.165 μB/atom

---

4.
This record from Alexandria via LeMat-Bulk describes a relaxed Mn3FeO8 crystal. The functional is PBE+U.

a = 5.7951 Å, b = 5.7951 Å, c = 9.0882 Å
α = 90.00°, β = 90.00°, γ = 120.00°
Fractional coordinates of all 24 atoms:
1 Mn 0.1675 0.3349 0.0000
2 Mn 0.1675 0.8325 0.0000
3 Mn 0.3349 0.1675 0.5000
4 Mn 0.6651 0.8325 0.0000
5 Mn 0.8325 0.1675 0.5000
6 Mn 0.8325 0.6651 0.5000
7 Fe 0.3333 0.6667 0.2825
8 Fe 0.6667 0.3333 0.7825
9 O 0.0000 0.0000 0.1038
10 O 0.0000 0.0000 0.6038
11 O 0.0411 0.5205 0.1234
12 O 0.1637 0.3274 0.3900
13 O 0.1637 0.8363 0.3900
14 O 0.3274 0.1637 0.8900
15 O 0.3333 0.6667 0.8919
16 O 0.4795 0.5205 0.1234
17 O 0.4795 0.9589 0.1234
18 O 0.5205 0.0411 0.6234
19 O 0.5205 0.4795 0.6234
20 O 0.6667 0.3333 0.3919
21 O 0.6726 0.8363 0.3900
22 O 0.8363 0.1637 0.8900
23 O 0.8363 0.6726 0.8900
24 O 0.9589 0.4795 0.6234

Computed properties:
distance to the lowest polymorph of the same formula: 0.0 meV/atom
D(E_F): 5.39 states/eV/f.u.
size of the total moment: 1.083 μB/atom

---

5.
This record from Alexandria via LeMat-Bulk describes a relaxed MnFeO2 crystal. The functional is PBE+U.

a = 3.1234 Å, b = 3.1234 Å, c = 17.5326 Å
α = 90.00°, β = 90.00°, γ = 120.00°
Fractional coordinates of all 12 atoms:
1 Mn 0.0000 0.0000 0.0000
2 Mn 0.3333 0.6667 0.6667
3 Mn 0.6667 0.3333 0.3333
4 Fe 0.0000 0.0000 0.5000
5 Fe 0.3333 0.6667 0.1667
6 Fe 0.6667 0.3333 0.8333
7 O 0.0000 0.0000 0.1088
8 O 0.0000 0.0000 0.8912
9 O 0.3333 0.6667 0.5578
10 O 0.3333 0.6667 0.7755
11 O 0.6667 0.3333 0.2245
12 O 0.6667 0.3333 0.4422

Computed properties:
distance to the lowest polymorph of the same formula: 320.3 meV/atom
D(E_F): 0.02 states/eV/f.u.
size of the total moment: 2.250 μB/atom

---

6.
This record from Alexandria via LeMat-Bulk describes a relaxed MnFe2O crystal. The functional is PBE+U.

a = 6.0190 Å, b = 6.0190 Å, c = 8.2167 Å
α = 90.00°, β = 90.00°, γ = 90.00°
Fractional coordinates of all 16 atoms:
1 Mn 0.0000 0.0000 0.0000
2 Mn 0.0000 0.5000 0.2500
3 Mn 0.5000 0.0000 0.7500
4 Mn 0.5000 0.5000 0.5000
5 Fe 0.1203 0.7500 0.6250
6 Fe 0.2500 0.1203 0.3750
7 Fe 0.2500 0.3797 0.8750
8 Fe 0.3797 0.7500 0.1250
9 Fe 0.6203 0.2500 0.1250
10 Fe 0.7500 0.6203 0.8750
11 Fe 0.7500 0.8797 0.3750
12 Fe 0.8797 0.2500 0.6250
13 O 0.0000 0.0000 0.5000
14 O 0.0000 0.5000 0.7500
15 O 0.5000 0.0000 0.2500
16 O 0.5000 0.5000 0.0000

Computed properties:
distance to the lowest polymorph of the same formula: 0.0 meV/atom
D(E_F): 2.07 states/eV/f.u.
size of the total moment: 2.994 μB/atom

---

7.
This record from Alexandria via LeMat-Bulk describes a relaxed Mn9FeO10 crystal. The functional is PBE+U.

a = 7.1447 Å, b = 7.1447 Å, c = 10.5705 Å
α = 101.81°, β = 101.81°, γ = 25.66°
Fractional coordinates of all 20 atoms:
1 Mn 0.0000 0.0000 0.0000
2 Mn 0.1001 0.1001 0.3021
3 Mn 0.1986 0.1986 0.5987
4 Mn 0.3000 0.3000 0.8993
5 Mn 0.4001 0.4001 0.2001
6 Mn 0.5999 0.5999 0.7999
7 Mn 0.7000 0.7000 0.1007
8 Mn 0.8014 0.8014 0.4013
9 Mn 0.8999 0.8999 0.6979
10 Fe 0.5000 0.5000 0.5000
11 O 0.0487 0.0487 0.6466
12 O 0.1498 0.1498 0.9497
13 O 0.2508 0.2508 0.2503
14 O 0.3503 0.3503 0.5498
15 O 0.4502 0.4502 0.8494
16 O 0.5498 0.5498 0.1506
17 O 0.6497 0.6497 0.4502
18 O 0.7492 0.7492 0.7497
19 O 0.8502 0.8502 0.0503
20 O 0.9513 0.9513 0.3534

Computed properties:
D(E_F): 1.12 states/eV/f.u.
size of the total moment: 2.450 μB/atom
total energy: -154.08 eV per formula unit

---

8.
This record from Alexandria via LeMat-Bulk describes a relaxed MnFeO2 crystal. The functional is PBE+U.

a = 5.4671 Å, b = 5.4671 Å, c = 5.4671 Å
α = 90.00°, β = 90.00°, γ = 90.00°
Fractional coordinates of all 16 atoms:
1 Mn 0.0000 0.0000 0.0000
2 Mn 0.0000 0.5000 0.5000
3 Mn 0.5000 0.0000 0.5000
4 Mn 0.5000 0.5000 0.0000
5 Fe 0.0000 0.0000 0.5000
6 Fe 0.0000 0.5000 0.0000
7 Fe 0.5000 0.0000 0.0000
8 Fe 0.5000 0.5000 0.5000
9 O 0.2500 0.2500 0.2500
10 O 0.2500 0.2500 0.7500
11 O 0.2500 0.7500 0.2500
12 O 0.2500 0.7500 0.7500
13 O 0.7500 0.2500 0.2500
14 O 0.7500 0.2500 0.7500
15 O 0.7500 0.7500 0.2500
16 O 0.7500 0.7500 0.7500

Computed properties:
distance to the lowest polymorph of the same formula: 1378.1 meV/atom
D(E_F): 2.53 states/eV/f.u.
size of the total moment: 1.250 μB/atom

---

9.
This record from Alexandria via LeMat-Bulk describes a relaxed MnFeO2 crystal. The functional is PBE+U.

a = 4.8258 Å, b = 4.8258 Å, c = 8.7230 Å
α = 90.00°, β = 90.00°, γ = 90.00°
Fractional coordinates of all 16 atoms:
1 Mn 0.0000 0.0000 0.0000
2 Mn 0.0000 0.5000 0.2500
3 Mn 0.5000 0.0000 0.7500
4 Mn 0.5000 0.5000 0.5000
5 Fe 0.0000 0.0000 0.5000
6 Fe 0.0000 0.5000 0.7500
7 Fe 0.5000 0.0000 0.2500
8 Fe 0.5000 0.5000 0.0000
9 O 0.2485 0.2500 0.6250
10 O 0.2500 0.7485 0.8750
11 O 0.2500 0.7515 0.3750
12 O 0.2515 0.2500 0.1250
13 O 0.7485 0.7500 0.1250
14 O 0.7500 0.2485 0.3750
15 O 0.7500 0.2515 0.8750
16 O 0.7515 0.7500 0.6250

Computed properties:
distance to the lowest polymorph of the same formula: 1492.5 meV/atom
D(E_F): 1.46 states/eV/f.u.
size of the total moment: 0.250 μB/atom

---

10.
This record from Alexandria via LeMat-Bulk describes a relaxed Mn4FeO5 crystal. The functional is PBE+U.

a = 11.2805 Å, b = 11.2805 Å, c = 11.2805 Å
α = 163.82°, β = 163.82°, γ = 22.96°
Fractional coordinates of all 10 atoms:
1 Mn 0.0965 0.0965 0.0000
2 Mn 0.3016 0.3016 0.0000
3 Mn 0.6984 0.6984 0.0000
4 Mn 0.9035 0.9035 0.0000
5 Fe 0.5000 0.5000 0.0000
6 O 0.0000 0.0000 0.0000
7 O 0.1991 0.1991 0.0000
8 O 0.4045 0.4045 0.0000
9 O 0.5955 0.5955 0.0000
10 O 0.8009 0.8009 0.0000

Computed properties:
D(E_F): 0.59 states/eV/f.u.
size of the total moment: 2.200 μB/atom
total energy: -74.38 eV per formula unit

---

11.
This record from Alexandria via LeMat-Bulk describes a relaxed MnFe5O6 crystal. The functional is PBE+U.

a = 5.4590 Å, b = 5.4590 Å, c = 5.3518 Å
α = 98.91°, β = 98.91°, γ = 121.28°
Fractional coordinates of all 12 atoms:
1 Mn 0.0000 0.0000 0.0000
2 Fe 0.1694 0.8306 0.5000
3 Fe 0.3325 0.6675 0.0000
4 Fe 0.5000 0.5000 0.5000
5 Fe 0.6675 0.3325 0.0000
6 Fe 0.8306 0.1694 0.5000
7 O 0.0953 0.4318 0.2466
8 O 0.2430 0.2430 0.7332
9 O 0.4318 0.0953 0.2466
10 O 0.5682 0.9047 0.7534
11 O 0.7570 0.7570 0.2668
12 O 0.9047 0.5682 0.7534

Computed properties:
size of the total moment: 2.082 μB/atom
total energy: -82.22 eV per formula unit

---

12.
This record from Alexandria via LeMat-Bulk describes a relaxed MnFeO2 crystal. The functional is PBE+U.

a = 3.1175 Å, b = 3.1175 Å, c = 4.4858 Å
α = 90.00°, β = 90.00°, γ = 90.00°
Fractional coordinates of all 4 atoms:
1 Mn 0.0000 0.0000 0.0000
2 Fe 0.5000 0.5000 0.5000
3 O 0.0000 0.0000 0.5000
4 O 0.5000 0.5000 0.0000

Computed properties:
distance to the lowest polymorph of the same formula: 221.8 meV/atom
D(E_F): 2.45 states/eV/f.u.
size of the total moment: 2.252 μB/atom

---

Copy entry 10 word for word.
This record from Alexandria via LeMat-Bulk describes a relaxed Mn4FeO5 crystal. The functional is PBE+U.

a = 11.2805 Å, b = 11.2805 Å, c = 11.2805 Å
α = 163.82°, β = 163.82°, γ = 22.96°
Fractional coordinates of all 10 atoms:
1 Mn 0.0965 0.0965 0.0000
2 Mn 0.3016 0.3016 0.0000
3 Mn 0.6984 0.6984 0.0000
4 Mn 0.9035 0.9035 0.0000
5 Fe 0.5000 0.5000 0.0000
6 O 0.0000 0.0000 0.0000
7 O 0.1991 0.1991 0.0000
8 O 0.4045 0.4045 0.0000
9 O 0.5955 0.5955 0.0000
10 O 0.8009 0.8009 0.0000

Computed properties:
D(E_F): 0.59 states/eV/f.u.
size of the total moment: 2.200 μB/atom
total energy: -74.38 eV per formula unit